Record 1
DFT (PBE) results for a relaxed structure of AlSi2TePb.

Values from the calculation:
ΔE_f (raw): 5.1 eV per formula unit
Spin magnetization: 0.00 μB per cell
SG: P4/mmm

a b c (Å): 5.2411 5.2940 5.2411
angles (deg): 90.00 90.00 90.00
Closest atoms and distances in Å follow each position.
Atoms (fractional coordinates):
Al1 0.0000 0.5000 0.0000  2 Te 2.65
Te1 0.0000 0.0000 0.0000  4 Si 2.62, 2 Al 2.65
Pb1 0.5000 0.5000 0.5000  4 Al 3.71, 8 Si 3.72
Si1 0.5000 0.0000 0.0000  2 Te 2.62
Si2 0.0000 0.0000 0.5000  2 Te 2.62

=====

Record 2
DFT (PBE) results for a relaxed structure of Ac2Mg12InAg3.

Values from the calculation:
Energy of formation from the pure elements: 2.0 eV per formula unit
Spin magnetization: 0.00 μB per cell
SG: R-3m

a b c (Å): 7.8117 7.8117 7.8117
angles (deg): 85.60 85.60 85.60
Closest atoms and distances in Å follow each position.
Atoms (fractional coordinates):
Mg1 0.6188 0.6188 0.0874  2 Mg 2.93-3.17, 2 Ag 3.09
Mg2 0.8189 0.8189 0.2912  1 Ag 2.77, 1 In 2.92, 3 Mg 2.93-2.98
Mg3 0.1811 0.1811 0.7088  1 Ag 2.77, 1 In 2.92, 3 Mg 2.93-2.98
Mg4 0.3812 0.9126 0.3812  2 Mg 2.93-3.17, 2 Ag 3.09
Mg5 0.2912 0.8189 0.8189  1 Ag 2.77, 1 In 2.92, 3 Mg 2.93-2.98
Mg6 0.7088 0.1811 0.1811  1 Ag 2.77, 1 In 2.92, 3 Mg 2.93-2.98
Mg7 0.3812 0.3812 0.9126  2 Mg 2.93-3.17, 2 Ag 3.09
Mg8 0.9126 0.3812 0.3812  2 Mg 2.93-3.17, 2 Ag 3.09
Mg9 0.1811 0.7088 0.1811  1 Ag 2.77, 1 In 2.92, 3 Mg 2.93-2.98
Mg10 0.0874 0.6188 0.6188  2 Mg 2.93-3.17, 2 Ag 3.09
Mg11 0.6188 0.0874 0.6188  2 Mg 2.93-3.17, 2 Ag 3.09
Mg12 0.8189 0.2912 0.8189  1 Ag 2.77, 1 In 2.92, 3 Mg 2.93-2.98
Ag1 0.0000 0.5000 0.0000  6 Mg 2.77-3.09
Ag2 0.0000 0.0000 0.5000  6 Mg 2.77-3.09
Ag3 0.5000 0.0000 0.0000  6 Mg 2.77-3.09
In1 0.0000 0.0000 0.0000  6 Mg 2.92
Ac1 0.3597 0.3597 0.3597  9 Mg 3.23-3.48
Ac2 0.6403 0.6403 0.6403  9 Mg 3.23-3.48

=====

Record 3
DFT (PBE) results for a relaxed structure of KRbTl2Cd.

Values from the calculation:
Energy of formation from the pure elements: -0.1 eV per formula unit
Spin magnetization: 0.00 μB per cell
SG: Pmma
Excess energy over the best structure of this formula in the dataset: 0.000 eV per atom

a b c (Å): 7.2420 6.7316 7.9456
angles (deg): 90.00 90.00 90.00
Closest atoms and distances in Å follow each position.
Atoms (fractional coordinates):
Rb1 0.3032 0.2500 0.5000  8 Tl 3.83-4.17, 2 K 4.06
Rb2 0.6968 0.7500 0.5000  8 Tl 3.83-4.17, 2 K 4.06
Tl1 0.1702 0.7500 0.7136  2 Cd 3.09, 1 Tl 3.40
Tl2 0.1702 0.7500 0.2864  2 Cd 3.09, 1 Tl 3.40
Tl3 0.8298 0.2500 0.7136  2 Cd 3.09, 1 Tl 3.40
Tl4 0.8298 0.2500 0.2864  2 Cd 3.09, 1 Tl 3.40
Cd1 0.0000 0.0000 0.0000  4 Tl 3.09, 2 Cd 3.37
Cd2 0.0000 0.5000 0.0000  4 Tl 3.09, 2 Cd 3.37
K1 0.4181 0.2500 0.0000  2 Cd 3.46, 2 K 3.57, 2 Tl 3.75
K2 0.5819 0.7500 0.0000  2 Cd 3.46, 2 K 3.57, 2 Tl 3.75

=====

Record 4
DFT (PBE) results for a relaxed structure of PrSm3YSc.

Values from the calculation:
Energy of formation from the pure elements: 0.3 eV per formula unit
Spin magnetization: 0.00 μB per cell
SG: P2_1/m

a b c (Å): 5.0766 7.9655 10.6901
angles (deg): 116.21 90.00 90.00
Closest atoms and distances in Å follow each position.
Atoms (fractional coordinates):
Pr1 0.2500 0.1229 0.2968  3 Sc 3.48-3.53, 1 Y 3.54, 8 Sm 3.54-3.66
Pr2 0.7500 0.8771 0.7032  3 Sc 3.48-3.53, 1 Y 3.54, 8 Sm 3.54-3.66
Sm1 0.2500 0.6183 0.7893  1 Sc 3.55, 3 Y 3.55-3.59, 6 Sm 3.58-3.62, 2 Pr 3.64
Sm2 0.2500 0.6349 0.4583  3 Sc 3.48-3.52, 1 Y 3.51, 3 Pr 3.54-3.66, 5 Sm 3.58-3.68
Sm3 0.7500 0.8752 0.0444  1 Sc 3.55, 3 Y 3.56-3.60, 3 Pr 3.59-3.65, 5 Sm 3.60-3.62
Sm4 0.7500 0.3817 0.2107  1 Sc 3.55, 3 Y 3.55-3.59, 6 Sm 3.58-3.62, 2 Pr 3.64
Sm5 0.2500 0.1248 0.9556  1 Sc 3.55, 3 Y 3.56-3.60, 3 Pr 3.59-3.65, 5 Sm 3.60-3.62
Sm6 0.7500 0.3651 0.5417  3 Sc 3.48-3.52, 1 Y 3.51, 3 Pr 3.54-3.66, 5 Sm 3.58-3.68
Y1 0.2500 0.6281 0.1279  7 Sm 3.51-3.60, 1 Pr 3.54, 2 Sc 3.59, 2 Y 3.63
Y2 0.7500 0.3719 0.8721  7 Sm 3.51-3.60, 1 Pr 3.54, 2 Sc 3.59, 2 Y 3.63
Sc1 0.7500 0.8784 0.3780  5 Sm 3.48-3.55, 3 Pr 3.48-3.53, 2 Sc 3.54, 2 Y 3.59
Sc2 0.2500 0.1216 0.6220  5 Sm 3.48-3.55, 3 Pr 3.48-3.53, 2 Sc 3.54, 2 Y 3.59

=====

> Look up the spin magnetization of the third one.

0.00 μB per cell